Computed, not measured: a relaxed TbPr2Ga3Rh4 crystal at the PBE-GGA level of DFT.

As for the density of states at the Fermi level: 0.726 states/eV per atom. The total moment comes out at 0.00 Bohr magnetons per cell. The energy of formation comes out at -0.774 eV per atom.

It has space group P-4m2 (No. 115), with a = 4.3104 Å, b = 4.3104 Å, c = 10.9314 Å, α = 90.00°, β = 90.00° and γ = 90.00°. The asymmetric unit holds Tb at (0.0000, 0.0000, 0.0000), Pr at (0.0000, 0.5000, 0.7220), Ga at (0.0000, 0.5000, 0.3843), Ga at (0.5000, 0.5000, 0.0000), Rh at (0.0000, 0.0000, 0.5000), Rh at (0.0000, 0.5000, 0.1533) and Rh at (0.5000, 0.5000, 0.5000).